No. 1
La3FeF | PBE+U | relaxed

Structure (POSCAR):
```
La3FeF
1.0
5.544 0.000 0.000
0.000 5.544 0.000
0.000 0.000 5.544
La Fe F
3 1 1
Cartesian
0.000 0.000 2.772
0.000 2.772 0.000
2.772 0.000 0.000
0.000 0.000 0.000
2.772 2.772 2.772
```

- DOS at the Fermi energy (states/eV per atom) = 1.086
- VASP energy (eV per atom) = -4.30
- magnetic moment (μB/f.u.) = 1.09


No. 2
LaFe3F | PBE+U | relaxed

Structure (POSCAR):
```
LaFe3F
1.0
5.496 0.000 0.000
0.000 5.496 0.000
0.000 0.000 5.496
La Fe F
1 3 1
Cartesian
0.000 0.000 0.000
0.000 0.000 2.748
0.000 2.748 0.000
2.748 0.000 0.000
2.748 2.748 2.748
```

- DOS at the Fermi energy (states/eV per atom) = 0.583
- VASP energy (eV per atom) = -3.24
- magnetic moment (μB/f.u.) = 9.73


No. 3
LaFe3F | PBE+U | relaxed

Structure (POSCAR):
```
LaFe3F
1.0
4.759 0.000 0.000
0.000 4.759 0.000
0.000 0.000 4.759
La Fe F
1 3 1
Cartesian
0.000 0.000 0.000
0.000 2.380 2.380
2.380 0.000 2.380
2.380 2.380 0.000
2.380 2.380 2.380
```

- DOS at the Fermi energy (states/eV per atom) = 1.158
- VASP energy (eV per atom) = -4.57
- magnetic moment (μB/f.u.) = 10.57


No. 4
La2FeF8 | PBE+U | relaxed

Structure (POSCAR):
```
La2FeF8
1.0
7.046 -2.042 0.000
7.046 2.042 0.000
-2.067 0.000 4.996
La Fe F
2 1 8
Cartesian
1.953 0.000 0.818
10.072 0.000 4.178
6.013 0.000 2.498
-0.342 0.000 1.396
1.423 0.000 4.013
3.691 0.000 2.743
5.561 0.000 0.503
6.465 0.000 4.493
8.335 0.000 2.253
10.603 0.000 0.983
12.368 0.000 3.600
```

- DOS at the Fermi energy (states/eV per atom) = 0.000
- VASP energy (eV per atom) = -6.40
- magnetic moment (μB/f.u.) = 4.00


No. 5
LaFeO2F | PBE+U | relaxed

Structure (POSCAR):
```
LaFeO2F
1.0
4.628 0.000 0.000
0.000 4.628 0.000
0.000 0.000 4.554
La Fe O F
1 1 2 1
Cartesian
0.000 0.000 0.000
2.314 2.314 2.277
0.000 2.314 0.000
2.314 0.000 0.000
0.000 0.000 2.277
```

- DOS at the Fermi energy (states/eV per atom) = 0.275
- VASP energy (eV per atom) = -6.15
- magnetic moment (μB/f.u.) = 4.50


No. 6
LaFeOF2 | PBE+U | relaxed

Structure (POSCAR):
```
LaFeOF2
1.0
4.234 0.000 0.000
0.000 4.234 0.000
0.000 0.000 3.934
La Fe O F
1 1 1 2
Cartesian
0.000 0.000 0.000
2.117 2.117 1.967
2.117 2.117 0.000
0.000 2.117 1.967
2.117 0.000 1.967
```

- DOS at the Fermi energy (states/eV per atom) = 0.631
- VASP energy (eV per atom) = -6.21
- magnetic moment (μB/f.u.) = 3.45